1.
First-principles (SCAN) data for TiZnTe2N at its PBEsol-relaxed geometry, as listed in Alexandria via LeMat-Bulk.

Cell lengths 3.5616, 5.3675, 5.3675 Å; angles 90.00, 90.00, 90.00 degrees
Closest atoms and distances in Å follow each position.
Element x y z (fractional)
N: 0.5000 0.0000 0.0000  2 Zn 1.78
Zn: 0.0000 0.0000 0.0000  2 N 1.78
Te: 0.0000 0.0000 0.5000  2 Zn 2.68
Te: 0.0000 0.5000 0.0000  2 Zn 2.68
Ti: 0.5000 0.5000 0.5000  8 Te 3.22, 2 Ti 3.56

## Properties
As for the space-group type: P4/mmm (123). For the magnetic moment, the calculation gives 0.80 μB per atom. Its electronic total energy is -110.31 eV per cell. The calculated volume is 20.52 A^3/atom.



2.
First-principles (SCAN) data for SrZn2RhBr at its PBEsol-relaxed geometry, as listed in Alexandria via LeMat-Bulk.

Cell lengths 4.8660, 5.8005, 5.8005 Å; angles 90.00, 90.00, 90.00 degrees
Closest atoms and distances in Å follow each position.
Element x y z (fractional)
Sr: 0.0000 0.0000 0.0000  2 Rh 2.43
Zn: 0.0000 0.0000 0.5000  2 Sr 2.90
Zn: 0.0000 0.5000 0.0000  2 Sr 2.90
Rh: 0.5000 0.0000 0.0000  2 Sr 2.43
Br: 0.5000 0.5000 0.5000  8 Zn 3.79, 4 Rh 4.10

## Properties
As for the space-group type: P4/mmm (123). For the magnetic moment, the calculation gives 0.05 μB per atom. Its electronic total energy is -97.82 eV per cell. The calculated volume is 32.74 A^3/atom.



3.
First-principles (SCAN) data for Zr3N2O3 at its PBEsol-relaxed geometry, as listed in Alexandria via LeMat-Bulk.

Cell lengths 3.9951, 5.6873, 10.6473 Å; angles 90.55, 90.00, 110.56 degrees
Closest atoms and distances in Å follow each position.
Element x y z (fractional)
Zr: 0.1843 0.3687 0.2481  4 O 2.06-2.25, 2 N 2.07-2.19
Zr: 0.1447 0.2895 0.9398  3 O 2.08-2.30, 3 N 2.10-2.19
Zr: 0.1386 0.2771 0.5553  1 O 2.04, 3 N 2.05-2.13
Zr: 0.8093 0.6187 0.7487  4 O 2.10-2.12, 2 N 2.15
Zr: 0.8576 0.7152 0.0558  2 O 2.09-2.12, 3 N 2.11-2.18
Zr: 0.8647 0.7294 0.4398  2 N 2.04-2.22, 4 O 2.09-2.27
N: 0.2984 0.5968 0.0779  4 Zr 2.11-2.19
N: 0.0477 0.0954 0.3845  3 Zr 2.04-2.07
N: 0.7069 0.4138 0.5740  4 Zr 2.13-2.22
N: 0.7034 0.4068 0.9194  4 Zr 2.10-2.18
O: 0.3097 0.6194 0.4191  4 Zr 2.09-2.34
O: 0.2472 0.4944 0.7509  3 Zr 2.10-2.30
O: 0.0458 0.0916 0.1120  3 Zr 2.06-2.12
O: 0.7558 0.5115 0.2559  3 Zr 2.14-2.27
O: 0.9565 0.9131 0.8843  3 Zr 2.08-2.12
O: 0.9589 0.9179 0.6193  3 Zr 2.04-2.15

## Properties
The energy above the lowest structure with this stoichiometry is 0.0295 eV/atom. As for the space-group type: Cm (8). For the magnetic moment, the calculation gives 0.00 μB per atom. Its electronic total energy is -305.42 eV per cell. The calculated volume is 14.16 A^3/atom.



4.
First-principles (SCAN) data for BeInSb2 at its PBEsol-relaxed geometry, as listed in Alexandria via LeMat-Bulk.

Cell lengths 3.4961, 5.0638, 5.0638 Å; angles 90.00, 90.00, 90.00 degrees
Closest atoms and distances in Å follow each position.
Element x y z (fractional)
Sb: 0.0000 0.0000 0.5000  4 Be 3.08, 4 In 3.08
Sb: 0.0000 0.5000 0.0000  4 Be 3.08, 4 In 3.08
Be: 0.5000 0.5000 0.5000  8 Sb 3.08
In: 0.5000 0.0000 0.0000  8 Sb 3.08

## Properties
The energy above the lowest structure with this stoichiometry is 0.2665 eV/atom. As for the space-group type: P4/mmm (123). For the magnetic moment, the calculation gives 0.00 μB per atom. Its electronic total energy is -110.00 eV per cell. The calculated volume is 22.41 A^3/atom.



5.
First-principles (SCAN) data for GaTe2Pd at its PBEsol-relaxed geometry, as listed in Alexandria via LeMat-Bulk.

Cell lengths 6.0835, 6.0835, 7.3904 Å; angles 114.30, 114.30, 90.00 degrees
Closest atoms and distances in Å follow each position.
Element x y z (fractional)
Te: 0.3646 0.8750 0.2500  2 Pd 2.59, 2 Ga 2.66
Te: 0.8854 0.3750 0.2500  2 Pd 2.59, 2 Ga 2.66
Te: 0.1250 0.1146 0.7500  2 Pd 2.59, 2 Ga 2.66
Te: 0.6250 0.6354 0.7500  2 Pd 2.59, 2 Ga 2.66
Ga: 0.7500 0.2500 0.5000  4 Te 2.66
Ga: 0.5000 0.5000 0.0000  4 Te 2.66
Pd: 0.2500 0.7500 0.5000  4 Te 2.59
Pd: 0.0000 0.0000 0.0000  4 Te 2.59

## Properties
As for the space-group type: I-42d (122). For the magnetic moment, the calculation gives 0.00 μB per atom. Its electronic total energy is -249.56 eV per cell. The calculated volume is 27.80 A^3/atom.



6.
First-principles (SCAN) data for Al8Rh at its PBEsol-relaxed geometry, as listed in Alexandria via LeMat-Bulk.

Cell lengths 3.9516, 6.2347, 6.2347 Å; angles 84.24, 71.52, 71.52 degrees
Closest atoms and distances in Å follow each position.
Element x y z (fractional)
Rh: 0.0000 0.0000 0.0000  12 Al 2.72-2.74
Al: 0.3396 0.0000 0.3208  10 Al 2.68-2.90, 2 Rh 2.74
Al: 0.6604 0.0000 0.6792  10 Al 2.68-2.90, 2 Rh 2.74
Al: 0.6743 0.3257 0.3257  1 Rh 2.72, 11 Al 2.76-2.91
Al: 0.3396 0.3208 0.0000  10 Al 2.68-2.90, 2 Rh 2.74
Al: 0.0000 0.3257 0.6743  1 Rh 2.72, 11 Al 2.76-2.91
Al: 0.6604 0.6792 0.0000  10 Al 2.68-2.90, 2 Rh 2.74
Al: 0.3257 0.6743 0.6743  1 Rh 2.72, 11 Al 2.76-2.91
Al: 0.0000 0.6743 0.3257  1 Rh 2.72, 11 Al 2.76-2.91

## Properties
Its energy of formation is -0.261 eV per atom. As for the space-group type: I4/mmm (139). For the magnetic moment, the calculation gives 0.01 μB per atom. Its electronic total energy is -98.14 eV per cell. The calculated volume is 15.35 A^3/atom.



7.
First-principles (SCAN) data for Sr2MnSe at its PBEsol-relaxed geometry, as listed in Alexandria via LeMat-Bulk.

Cell lengths 3.6973, 3.6973, 8.8172 Å; angles 90.00, 90.00, 90.00 degrees
Closest atoms and distances in Å follow each position.
Element x y z (fractional)
Mn: 0.0000 0.0000 0.5611  4 Se 2.88, 1 Sr 3.14
Se: 0.5000 0.5000 0.6988  4 Mn 2.88
Sr: 0.0000 0.0000 0.9172  1 Mn 3.14, 4 Se 3.25
Sr: 0.5000 0.5000 0.3229  1 Se 3.31, 4 Mn 3.35, 4 Sr 3.70

## Properties
As for the space-group type: P4mm (99). For the magnetic moment, the calculation gives 1.18 μB per atom. Its electronic total energy is -84.88 eV per cell. The calculated volume is 30.13 A^3/atom.



8.
First-principles (SCAN) data for LiSc2HgO at its PBEsol-relaxed geometry, as listed in Alexandria via LeMat-Bulk.

Cell lengths 4.4760, 5.1892, 5.1892 Å; angles 90.00, 90.00, 90.00 degrees
Closest atoms and distances in Å follow each position.
Element x y z (fractional)
Sc: 0.0000 0.0000 0.5000  2 Hg 2.59
Sc: 0.0000 0.5000 0.0000  2 Hg 2.59
Hg: 0.0000 0.0000 0.0000  2 Li 2.24
O: 0.5000 0.5000 0.5000  8 Sc 3.43, 4 Li 3.67
Li: 0.5000 0.0000 0.0000  2 Hg 2.24

## Properties
As for the space-group type: P4/mmm (123). For the magnetic moment, the calculation gives 0.00 μB per atom. Its electronic total energy is -103.98 eV per cell. The calculated volume is 24.11 A^3/atom.



9.
First-principles (SCAN) data for RuPt2Rh at its PBEsol-relaxed geometry, as listed in Alexandria via LeMat-Bulk.

Cell lengths 4.3433, 4.3433, 4.3433 Å; angles 60.00, 60.00, 60.00 degrees
Closest atoms and distances in Å follow each position.
Element x y z (fractional)
Pt: 0.7500 0.7500 0.7500  4 Ru 2.66, 4 Rh 2.66
Pt: 0.2500 0.2500 0.2500  4 Ru 2.66, 4 Rh 2.66
Rh: 0.0000 0.0000 0.0000  8 Pt 2.66
Ru: 0.5000 0.5000 0.5000  8 Pt 2.66

## Properties
Its energy of formation is 0.269 eV per atom. The energy above the lowest structure with this stoichiometry is 0.3147 eV/atom. As for the space-group type: Fm-3m (225). For the magnetic moment, the calculation gives 0.48 μB per atom. Its electronic total energy is -207.91 eV per cell. The calculated volume is 14.48 A^3/atom.



10.
First-principles (SCAN) data for MoAsF3 at its PBEsol-relaxed geometry, as listed in Alexandria via LeMat-Bulk.

Cell lengths 4.2241, 4.2241, 4.2241 Å; angles 90.00, 90.00, 90.00 degrees
Closest atoms and distances in Å follow each position.
Element x y z (fractional)
Mo: 0.0000 0.0000 0.0000  6 F 2.11
As: 0.5000 0.5000 0.5000  12 F 2.99
F: 0.0000 0.5000 0.0000  2 Mo 2.11
F: 0.0000 0.0000 0.5000  2 Mo 2.11
F: 0.5000 0.0000 0.0000  2 Mo 2.11

## Properties
As for the space-group type: Pm-3m (221). For the magnetic moment, the calculation gives 1.20 μB per atom. Its electronic total energy is -71.73 eV per cell. The calculated volume is 15.07 A^3/atom.



11.
First-principles (SCAN) data for MgBeHg2Mo at its PBEsol-relaxed geometry, as listed in Alexandria via LeMat-Bulk.

Cell lengths 4.3751, 4.4877, 4.4877 Å; angles 90.00, 90.00, 90.00 degrees
Closest atoms and distances in Å follow each position.
Element x y z (fractional)
Mg: 0.5000 0.5000 0.5000  8 Hg 3.13, 4 Mo 3.17
Be: 0.0000 0.0000 0.0000  2 Mo 2.19, 4 Hg 2.24
Mo: 0.5000 0.0000 0.0000  2 Be 2.19
Hg: 0.0000 0.0000 0.5000  2 Be 2.24
Hg: 0.0000 0.5000 0.0000  2 Be 2.24

## Properties
Its energy of formation is 0.412 eV per atom. As for the space-group type: P4/mmm (123). For the magnetic moment, the calculation gives 0.00 μB per atom. Its electronic total energy is -178.49 eV per cell. The calculated volume is 17.62 A^3/atom.



12.
First-principles (SCAN) data for KIrW2 at its PBEsol-relaxed geometry, as listed in Alexandria via LeMat-Bulk.

Cell lengths 3.8823, 3.8823, 4.6066 Å; angles 90.00, 90.00, 90.00 degrees
Closest atoms and distances in Å follow each position.
Element x y z (fractional)
Ir: 0.5000 0.5000 0.5000  4 K 2.75, 8 W 3.01
K: 0.0000 0.0000 0.5000  4 Ir 2.75, 8 W 3.01
W: 0.0000 0.5000 0.0000  4 W 2.75, 4 Ir 3.01, 4 K 3.01
W: 0.5000 0.0000 0.0000  4 W 2.75, 4 Ir 3.01, 4 K 3.01

## Properties
Its energy of formation is 1.814 eV per atom. The energy above the lowest structure with this stoichiometry is 1.0594 eV/atom. As for the space-group type: P4/mmm (123). For the magnetic moment, the calculation gives 0.00 μB per atom. Its electronic total energy is -211.55 eV per cell. The calculated volume is 17.36 A^3/atom.



13.
First-principles (SCAN) data for ZnPb2Se at its PBEsol-relaxed geometry, as listed in Alexandria via LeMat-Bulk.

Cell lengths 3.7505, 3.7505, 8.5041 Å; angles 77.26, 77.26, 60.00 degrees
Closest atoms and distances in Å follow each position.
Element x y z (fractional)
Pb: 0.9867 0.9867 0.0398  3 Zn 3.02, 3 Pb 3.36
Pb: 0.7577 0.7577 0.7268  3 Se 3.22, 3 Pb 3.36
Se: 0.5207 0.5207 0.4378  3 Zn 2.46
Zn: 0.2348 0.2348 0.2956  3 Se 2.46

## Properties
The energy above the lowest structure with this stoichiometry is 0.0000 eV/atom. As for the space-group type: R3m (160). For the magnetic moment, the calculation gives 0.00 μB per atom. Its electronic total energy is -185.83 eV per cell. The calculated volume is 25.04 A^3/atom.